PrEuYEr: optimized geometry, PBE-GGA.

Unit cell a=8.218 b=8.218 c=8.218 alpha=90.00 beta=90.00 gamma=90.00
Fractional positions:
Pr1 0.000 0.000 0.000
Pr2 0.000 0.500 0.500
Pr3 0.500 0.000 0.500
Pr4 0.500 0.500 0.000
Eu1 0.250 0.250 0.250
Eu2 0.250 0.750 0.750
Eu3 0.750 0.250 0.750
Eu4 0.750 0.750 0.250
Y1 0.000 0.000 0.500
Y2 0.000 0.500 0.000
Y3 0.500 0.000 0.000
Y4 0.500 0.500 0.500
Er1 0.250 0.250 0.750
Er2 0.250 0.750 0.250
Er3 0.750 0.250 0.250
Er4 0.750 0.750 0.750

Properties
DFT total energy (eV per atom): -6.38
Calculated volume (Å³/cell): 555
DFT formation energy (kcal/mol of atoms): 3.3
SG: No. 216



TaPb3: optimized geometry, PBE-GGA.

Unit cell a=5.351 b=6.226 c=6.230 alpha=90.00 beta=90.00 gamma=90.00
Fractional positions:
Ta1 0.250 0.250 0.179
Ta2 0.750 0.750 0.821
Pb1 0.250 0.000 0.660
Pb2 0.250 0.500 0.660
Pb3 0.250 0.750 0.121
Pb4 0.750 0.000 0.340
Pb5 0.750 0.250 0.879
Pb6 0.750 0.500 0.340

Properties
DFT total energy (eV per atom): -5.09
Calculated volume (Å³/cell): 208
DFT formation energy (kcal/mol of atoms): 15.1
SG: No. 59



TbHoEr3: optimized geometry, PBE-GGA.

Unit cell a=6.213 b=6.634 c=9.096 alpha=72.36 beta=90.00 gamma=62.11
Fractional positions:
Tb1 0.032 0.101 0.151
Tb2 0.968 0.899 0.849
Ho1 0.167 0.499 0.250
Ho2 0.833 0.501 0.750
Er1 0.234 0.700 0.549
Er2 0.366 0.100 0.649
Er3 0.435 0.299 0.949
Er4 0.565 0.701 0.051
Er5 0.634 0.900 0.351
Er6 0.766 0.300 0.451

Properties
DFT total energy (eV per atom): -4.58
Calculated volume (Å³/cell): 311
DFT formation energy (kcal/mol of atoms): 0.1
SG: No. 2